Density functional theory data (PBE-GGA) for a relaxed Ga6PdRu5 crystal.

Unit cell a=4.292 b=6.089 c=7.442 alpha=114.15 beta=106.82 gamma=90.00
Atoms (fractional coordinates):
Ru  0.658  0.158  0.317
Ru  0.330  0.330  0.661
Ru  0.000  0.500  0.000
Ru  0.670  0.670  0.339
Ru  0.342  0.842  0.683
Ga  0.830  0.574  0.660
Ga  0.830  0.086  0.660
Ga  0.500  0.738  0.000
Ga  0.500  0.262  0.000
Ga  0.170  0.914  0.340
Ga  0.170  0.426  0.340
Pd  0.000  0.000  0.000

Properties
ΔH_f (0 K), eV/atom: -0.38
Final energy, eV per atom: -6.1932